(1)
ZrNiOs2 | PBE-GGA | optimized geometry

Lattice parameters (Å, degrees): 2.826 3.856 5.631 90.00 90.00 90.00
Element x y z (fractional)
Zr  0.000  0.000  0.000
Ni  0.500  0.500  0.251
Os  0.000  0.000  0.501
Os  0.500  0.500  0.702

Calculated values
Formation energy: -8.4 kJ/mol of atoms
Excess energy over the best structure of this formula in the dataset: 35.7 meV per atom
Magnetic moment: 0.00 μB/f.u.
Raw total energy: -9.285 eV per atom


(2)
ZrNiOs2 | PBE-GGA | optimized geometry

Lattice parameters (Å, degrees): 9.015 2.941 4.748 90.00 102.52 90.00
Element x y z (fractional)
Zr  0.000  0.000  0.000
Zr  0.500  0.500  0.000
Ni  0.000  0.500  0.500
Ni  0.500  0.000  0.500
Os  0.238  0.000  0.718
Os  0.262  0.500  0.282
Os  0.738  0.500  0.718
Os  0.762  0.000  0.282

Calculated values
Formation energy: -0.8 kJ/mol of atoms
Excess energy over the best structure of this formula in the dataset: 114.8 meV per atom
Magnetic moment: 0.00 μB/f.u.
Raw total energy: -9.206 eV per atom


(3)
ZrNiOs2 | PBE-GGA | optimized geometry

Lattice parameters (Å, degrees): 2.805 4.531 4.865 90.00 96.71 90.00
Element x y z (fractional)
Zr  0.000  0.000  0.000
Ni  0.500  0.000  0.500
Os  0.311  0.500  0.731
Os  0.689  0.500  0.269

Calculated values
Formation energy: 5.0 kJ/mol of atoms
Excess energy over the best structure of this formula in the dataset: 174.8 meV per atom
Magnetic moment: 0.00 μB/f.u.
Raw total energy: -9.146 eV per atom


(4)
Zr2NiOs | PBE-GGA | optimized geometry

Lattice parameters (Å, degrees): 6.445 6.445 6.445 90.00 90.00 90.00
Element x y z (fractional)
Zr  0.000  0.000  0.000
Zr  0.000  0.500  0.500
Zr  0.250  0.250  0.250
Zr  0.250  0.750  0.750
Zr  0.500  0.000  0.500
Zr  0.500  0.500  0.000
Zr  0.750  0.250  0.750
Zr  0.750  0.750  0.250
Ni  0.000  0.000  0.500
Ni  0.000  0.500  0.000
Ni  0.500  0.000  0.000
Ni  0.500  0.500  0.500
Os  0.250  0.250  0.750
Os  0.250  0.750  0.250
Os  0.750  0.250  0.250
Os  0.750  0.750  0.750

Calculated values
Formation energy: -6.0 kJ/mol of atoms
Magnetic moment: 0.00 μB/f.u.
Raw total energy: -8.589 eV per atom


(5)
Zr2NiOs | PBE-GGA | optimized geometry

Lattice parameters (Å, degrees): 10.330 3.370 4.437 90.00 115.35 90.00
Element x y z (fractional)
Zr  0.000  0.000  0.000
Zr  0.233  0.000  0.733
Zr  0.500  0.500  0.000
Zr  0.733  0.500  0.733
Ni  0.253  0.500  0.253
Ni  0.753  0.000  0.253
Os  0.496  0.000  0.496
Os  0.996  0.500  0.496

Calculated values
Formation energy: -20.2 kJ/mol of atoms
Magnetic moment: 0.00 μB/f.u.
Raw total energy: -8.737 eV per atom


(6)
ZrNiOs2 | PBE-GGA | optimized geometry

Lattice parameters (Å, degrees): 2.842 2.842 7.570 90.00 90.00 90.00
Element x y z (fractional)
Zr  0.000  0.000  0.000
Ni  0.500  0.500  0.255
Os  0.000  0.000  0.482
Os  0.500  0.500  0.704

Calculated values
Formation energy: -0.2 kJ/mol of atoms
Excess energy over the best structure of this formula in the dataset: 120.8 meV per atom
Magnetic moment: 0.00 μB/f.u.
Raw total energy: -9.200 eV per atom


(7)
Zr2NiOs | PBE-GGA | optimized geometry

Lattice parameters (Å, degrees): 4.625 4.625 3.242 90.00 90.00 90.00
Element x y z (fractional)
Zr  0.000  0.500  0.000
Zr  0.500  0.000  0.000
Ni  0.000  0.000  0.500
Os  0.500  0.500  0.500

Calculated values
Formation energy: -42.4 kJ/mol of atoms
Magnetic moment: 0.00 μB/f.u.
Raw total energy: -8.966 eV per atom


(8)
Zr8Ni2Os | PBE-GGA | optimized geometry

Lattice parameters (Å, degrees): 11.181 11.181 11.181 156.29 156.29 33.79
Element x y z (fractional)
Zr  0.075  0.575  0.500
Zr  0.173  0.173  0.000
Zr  0.324  0.324  0.000
Zr  0.425  0.925  0.500
Zr  0.575  0.075  0.500
Zr  0.676  0.676  0.000
Zr  0.827  0.827  0.000
Zr  0.925  0.425  0.500
Ni  0.250  0.750  0.500
Ni  0.750  0.250  0.500
Os  0.000  0.000  0.000

Calculated values
Formation energy: -19.6 kJ/mol of atoms
Magnetic moment: 0.00 μB/f.u.
Raw total energy: -8.492 eV per atom


(9)
Zr2NiOs | PBE-GGA | optimized geometry

Lattice parameters (Å, degrees): 3.303 3.303 23.131 90.00 90.00 120.00
Element x y z (fractional)
Zr  0.000  0.000  0.247
Zr  0.000  0.000  0.753
Zr  0.333  0.667  0.420
Zr  0.333  0.667  0.914
Zr  0.667  0.333  0.086
Zr  0.667  0.333  0.580
Ni  0.000  0.000  0.500
Ni  0.333  0.667  0.167
Ni  0.667  0.333  0.833
Os  0.000  0.000  0.000
Os  0.333  0.667  0.667
Os  0.667  0.333  0.333

Calculated values
Formation energy: -4.1 kJ/mol of atoms
Magnetic moment: 0.00 μB/f.u.
Raw total energy: -8.569 eV per atom


(10)
ZrNiOs2 | PBE-GGA | optimized geometry

Lattice parameters (Å, degrees): 2.810 4.472 9.693 90.00 90.00 90.00
Element x y z (fractional)
Zr  0.000  0.000  0.000
Zr  0.500  0.500  0.500
Ni  0.000  0.000  0.500
Ni  0.500  0.500  0.000
Os  0.000  0.500  0.218
Os  0.000  0.500  0.782
Os  0.500  0.000  0.282
Os  0.500  0.000  0.718

Calculated values
Formation energy: 4.1 kJ/mol of atoms
Excess energy over the best structure of this formula in the dataset: 165.8 meV per atom
Magnetic moment: 0.00 μB/f.u.
Raw total energy: -9.155 eV per atom


(11)
Zr3NiOs | PBE-GGA | optimized geometry

Lattice parameters (Å, degrees): 4.732 4.732 4.732 90.00 90.00 90.00
Element x y z (fractional)
Zr  0.000  0.000  0.500
Zr  0.000  0.500  0.000
Zr  0.500  0.000  0.000
Ni  0.000  0.000  0.000
Os  0.500  0.500  0.500

Calculated values
Formation energy: 54.9 kJ/mol of atoms
Excess energy over the best structure of this formula in the dataset: 0.0 meV per atom
Magnetic moment: 0.00 μB/f.u.
Raw total energy: -7.962 eV per atom


(12)
ZrNiOs | PBE-GGA | optimized geometry

Lattice parameters (Å, degrees): 4.472 4.472 2.707 90.00 90.00 120.00
Element x y z (fractional)
Zr  0.000  0.000  0.000
Ni  0.333  0.667  0.248
Os  0.667  0.333  0.656

Calculated values
Formation energy: 2.2 kJ/mol of atoms
Excess energy over the best structure of this formula in the dataset: 433.1 meV per atom
Magnetic moment: 0.00 μB/f.u.
Raw total energy: -8.497 eV per atom


Which value of magnetic moment does entry 7 give? 0.00 μB/f.u.


Which formula does entry 2 have? ZrNiOs2


Number 8 is which compound? Zr8Ni2Os